[1]
Computed, not measured: a geometry-optimized KBeNb structure at the PBE level of DFT.

```
KBeNb
1.0
15.6483 0.0000 0.0000
0.0000 6.7838 0.0000
0.0000 0.0000 2.7229
K Be Nb
4 4 4
direct
0.1722 0.2500 0.0136
0.3278 0.7500 0.5136
0.6722 0.2500 0.4864
0.8278 0.7500 0.9864
0.0000 0.0000 0.5000
0.0000 0.5000 0.5000
0.5000 0.0000 0.0000
0.5000 0.5000 0.0000
0.0798 0.7500 0.0000
0.4202 0.2500 0.5000
0.5798 0.7500 0.5000
0.9202 0.2500 0.0000
```

- energy relative to the elements (eV per atom) = 0.86
- crystal system = orthorhombic
- electronic total energy (Ry per atom) = -0.3014
- energy above the most stable polymorph in this dataset (eV per atom) = 0.5430
- space group = Pnma

***

[2]
Computed, not measured: a geometry-optimized KBeNb structure at the PBE level of DFT.

```
KBeNb
1.0
4.9916 0.0000 0.0000
-2.4958 4.3228 0.0000
0.0000 0.0000 5.2658
K Be Nb
2 2 2
direct
0.0000 0.0000 0.0000
0.0000 0.0000 0.5000
0.3333 0.6667 0.1676
0.6667 0.3333 0.6676
0.3333 0.6667 0.6587
0.6667 0.3333 0.1587
```

- energy relative to the elements (eV per atom) = 1.39
- crystal system = hexagonal
- electronic total energy (Ry per atom) = -0.2628
- energy above the most stable polymorph in this dataset (eV per atom) = 1.0678
- space group = P6_3mc

***

[3]
Computed, not measured: a geometry-optimized K3BeNb structure at the PBE level of DFT.

```
K3BeNb
1.0
6.1940 0.0000 0.0000
0.0000 6.1940 0.0000
0.0000 0.0000 6.1940
K Be Nb
3 1 1
direct
0.0000 0.0000 0.5000
0.0000 0.5000 0.0000
0.5000 0.0000 0.0000
0.0000 0.0000 0.0000
0.5000 0.5000 0.5000
```

- energy relative to the elements (eV per atom) = 1.53
- crystal system = cubic
- electronic total energy (Ry per atom) = -0.1391
- energy above the most stable polymorph in this dataset (eV per atom) = 0.0000
- space group = Pm-3m

***

[4]
Computed, not measured: a geometry-optimized KBe3Nb structure at the PBE level of DFT.

```
KBe3Nb
1.0
4.2896 0.0000 0.0000
0.0000 4.2896 0.0000
0.0000 0.0000 4.2896
K Be Nb
1 3 1
direct
0.0000 0.0000 0.0000
0.0000 0.0000 0.5000
0.0000 0.5000 0.0000
0.5000 0.0000 0.0000
0.5000 0.5000 0.5000
```

- energy relative to the elements (eV per atom) = 2.24
- crystal system = cubic
- electronic total energy (Ry per atom) = -0.1639
- energy above the most stable polymorph in this dataset (eV per atom) = 0.8942
- space group = Pm-3m

***

[5]
Computed, not measured: a geometry-optimized K2BeNbO4 structure at the PBE level of DFT.

```
K2BeNbO4
1.0
5.8189 0.0000 0.0000
0.0000 5.8189 0.0000
0.0000 0.0000 7.1602
K Be Nb O
4 2 2 8
direct
0.0000 0.0000 0.0000
0.0000 0.5000 0.2500
0.5000 0.0000 0.7500
0.5000 0.5000 0.5000
0.0000 0.0000 0.5000
0.5000 0.5000 0.0000
0.0000 0.5000 0.7500
0.5000 0.0000 0.2500
0.0984 0.7877 0.6374
0.2123 0.0984 0.3626
0.2877 0.4016 0.8626
0.4016 0.7123 0.1374
0.5984 0.2877 0.1374
0.7123 0.5984 0.8626
0.7877 0.9016 0.3626
0.9016 0.2123 0.6374
```

- crystal system = tetragonal
- electronic total energy (Ry per atom) = -0.4835
- space group = I-4

***

[6]
Computed, not measured: a geometry-optimized KBeNbPb2 structure at the PBE level of DFT.

```
KBeNbPb2
1.0
5.5066 0.0000 0.0000
0.0000 5.5066 0.0000
0.0000 0.0000 6.6651
K Be Nb Pb
1 1 1 2
direct
0.0000 0.0000 0.0000
0.5000 0.5000 0.0000
0.0000 0.0000 0.5000
0.0000 0.5000 0.5000
0.5000 0.0000 0.5000
```

- energy relative to the elements (eV per atom) = 1.18
- crystal system = tetragonal
- electronic total energy (Ry per atom) = -0.2412
- space group = P4/mmm

***

[7]
Computed, not measured: a geometry-optimized K2BeNbRe structure at the PBE level of DFT.

```
K2BeNbRe
1.0
4.9130 0.0000 0.0000
0.0000 4.9130 0.0000
0.0000 0.0000 4.8698
K Be Nb Re
2 1 1 1
direct
0.0000 0.5000 0.0000
0.5000 0.0000 0.0000
0.0000 0.0000 0.0000
0.5000 0.5000 0.5000
0.0000 0.0000 0.5000
```

- energy relative to the elements (eV per atom) = 2.25
- crystal system = tetragonal
- electronic total energy (Ry per atom) = -0.2530
- space group = P4/mmm

***

[8]
Computed, not measured: a geometry-optimized KBe2NbRe structure at the PBE level of DFT.

```
KBe2NbRe
1.0
4.1588 0.0000 0.0000
0.0000 4.1588 0.0000
0.0000 0.0000 4.6841
K Be Nb Re
1 2 1 1
direct
0.0000 0.0000 0.0000
0.0000 0.5000 0.0000
0.5000 0.0000 0.0000
0.0000 0.0000 0.5000
0.5000 0.5000 0.5000
```

- energy relative to the elements (eV per atom) = 2.81
- crystal system = tetragonal
- electronic total energy (Ry per atom) = -0.2500
- space group = P4/mmm

***

[9]
Computed, not measured: a geometry-optimized KBeNb2Re structure at the PBE level of DFT.

```
KBeNb2Re
1.0
4.8588 0.0000 0.0000
0.0000 4.8588 0.0000
0.0000 0.0000 6.0900
K Be Nb Re
1 1 2 1
direct
0.0000 0.0000 0.0000
0.5000 0.5000 0.0000
0.0000 0.5000 0.5000
0.5000 0.0000 0.5000
0.0000 0.0000 0.5000
```

- energy relative to the elements (eV per atom) = 1.90
- crystal system = tetragonal
- electronic total energy (Ry per atom) = -0.4103
- space group = P4/mmm

***

[10]
Computed, not measured: a geometry-optimized K2BeNbSb structure at the PBE level of DFT.

```
K2BeNbSb
1.0
6.5411 0.0000 0.0000
0.0000 6.5411 0.0000
0.0000 0.0000 4.3261
K Be Nb Sb
2 1 1 1
direct
0.0000 0.5000 0.0000
0.5000 0.0000 0.0000
0.0000 0.0000 0.0000
0.5000 0.5000 0.5000
0.0000 0.0000 0.5000
```

- crystal system = tetragonal
- electronic total energy (Ry per atom) = -0.2173
- space group = P4/mmm

***

[11]
Computed, not measured: a geometry-optimized KBeNbSb2 structure at the PBE level of DFT.

```
KBeNbSb2
1.0
5.0975 0.0000 0.0000
0.0000 5.0975 0.0000
0.0000 0.0000 4.7329
K Be Nb Sb
1 1 1 2
direct
0.0000 0.0000 0.0000
0.5000 0.5000 0.5000
0.5000 0.5000 0.0000
0.0000 0.5000 0.5000
0.5000 0.0000 0.5000
```

- crystal system = tetragonal
- electronic total energy (Ry per atom) = -0.2973
- space group = P4/mmm

***

[12]
Computed, not measured: a geometry-optimized KTaBeNb2 structure at the PBE level of DFT.

```
KTaBeNb2
1.0
4.9065 0.0000 0.0000
0.0000 4.9065 0.0000
0.0000 0.0000 6.0631
K Ta Be Nb
1 1 1 2
direct
0.0000 0.0000 0.0000
0.0000 0.0000 0.5000
0.5000 0.5000 0.0000
0.0000 0.5000 0.5000
0.5000 0.0000 0.5000
```

- energy relative to the elements (eV per atom) = 2.07
- crystal system = tetragonal
- electronic total energy (Ry per atom) = -0.3888
- space group = P4/mmm

***

[13]
Computed, not measured: a geometry-optimized K2BeNbTc structure at the PBE level of DFT.

```
K2BeNbTc
1.0
6.5012 0.0000 0.0000
0.0000 6.5012 0.0000
0.0000 0.0000 4.5881
K Be Nb Tc
2 1 1 1
direct
0.0000 0.5000 0.0000
0.5000 0.0000 0.0000
0.0000 0.0000 0.5000
0.5000 0.5000 0.5000
0.5000 0.5000 0.0000
```

- energy relative to the elements (eV per atom) = 1.68
- crystal system = tetragonal
- electronic total energy (Ry per atom) = -0.2637
- space group = P4/mmm

***

[14]
Computed, not measured: a geometry-optimized KBeNbV2 structure at the PBE level of DFT.

```
KBeNbV2
1.0
4.2093 0.0000 0.0000
0.0000 4.2093 0.0000
0.0000 0.0000 4.6182
K Be Nb V
1 1 1 2
direct
0.0000 0.0000 0.0000
0.5000 0.5000 0.5000
0.0000 0.0000 0.5000
0.0000 0.5000 0.0000
0.5000 0.0000 0.0000
```

- energy relative to the elements (eV per atom) = 2.64
- crystal system = tetragonal
- electronic total energy (Ry per atom) = -0.2928
- space group = P4/mmm

***

[15]
Computed, not measured: a geometry-optimized K2NdBe2O4 structure at the PBE level of DFT.

```
K2NdBe2O4
1.0
6.5666 -1.6824 0.0000
6.5666 1.6824 0.0000
-4.0677 0.0000 6.4036
K Nd Be O
2 1 2 4
direct
0.1348 0.1348 0.0727
0.8652 0.8652 0.9273
0.0000 0.0000 0.5000
0.3223 0.3223 0.5420
0.6777 0.6777 0.4580
0.2173 0.2173 0.5899
0.4640 0.4640 0.6864
0.5360 0.5360 0.3136
0.7827 0.7827 0.4101
```

- crystal system = monoclinic
- electronic total energy (Ry per atom) = -0.4344
- space group = C2/m

***

[16]
Computed, not measured: a geometry-optimized K2NdBe2S4 structure at the PBE level of DFT.

```
K2NdBe2S4
1.0
7.5240 -1.8511 0.0000
7.5240 1.8511 0.0000
-3.5773 0.0000 7.4322
K Nd Be S
2 1 2 4
direct
0.1245 0.1245 0.0622
0.8755 0.8755 0.9378
0.0000 0.0000 0.5000
0.3284 0.3284 0.5330
0.6716 0.6716 0.4670
0.2123 0.2123 0.6323
0.4695 0.4695 0.7402
0.5305 0.5305 0.2598
0.7877 0.7877 0.3677
```

- crystal system = monoclinic
- electronic total energy (Ry per atom) = -0.3413
- space group = C2/m

***

[17]
Computed, not measured: a geometry-optimized KBeNi structure at the PBE level of DFT.

```
KBeNi
1.0
6.3877 0.0000 0.0000
0.0000 6.3877 0.0000
0.0000 0.0000 6.3877
K Be Ni
4 4 4
direct
0.0000 0.0000 0.0000
0.0000 0.5000 0.5000
0.5000 0.0000 0.5000
0.5000 0.5000 0.0000
0.0000 0.0000 0.5000
0.0000 0.5000 0.0000
0.5000 0.0000 0.0000
0.5000 0.5000 0.5000
0.2500 0.2500 0.7500
0.2500 0.7500 0.2500
0.7500 0.2500 0.2500
0.7500 0.7500 0.7500
```

- energy relative to the elements (eV per atom) = 1.19
- crystal system = cubic
- electronic total energy (Ry per atom) = -0.1723
- energy above the most stable polymorph in this dataset (eV per atom) = 0.8476
- space group = F-43m

***

[18]
Computed, not measured: a geometry-optimized KBe2Ni structure at the PBE level of DFT.

```
KBe2Ni
1.0
2.5997 0.0000 0.0000
0.0000 5.2945 0.0000
0.0000 0.0000 9.3539
K Be Ni
2 4 2
direct
0.0000 0.0000 0.0000
0.5000 0.5000 0.5000
0.0000 0.0000 0.5127
0.0000 0.5000 0.8137
0.5000 0.0000 0.3137
0.5000 0.5000 0.0127
0.0000 0.5000 0.1910
0.5000 0.0000 0.6910
```

- energy relative to the elements (eV per atom) = 0.77
- crystal system = orthorhombic
- electronic total energy (Ry per atom) = -0.2070
- energy above the most stable polymorph in this dataset (eV per atom) = 0.6213
- space group = Imm2

***

[19]
Computed, not measured: a geometry-optimized KBe3Ni structure at the PBE level of DFT.

```
KBe3Ni
1.0
4.2850 0.0000 0.0000
0.0000 4.2850 0.0000
0.0000 0.0000 4.2850
K Be Ni
1 3 1
direct
0.0000 0.0000 0.0000
0.0000 0.5000 0.5000
0.5000 0.0000 0.5000
0.5000 0.5000 0.0000
0.5000 0.5000 0.5000
```

- energy relative to the elements (eV per atom) = 0.49
- crystal system = cubic
- electronic total energy (Ry per atom) = -0.2292
- energy above the most stable polymorph in this dataset (eV per atom) = 0.0000
- space group = Pm-3m

***

[20]
Computed, not measured: a geometry-optimized KBe2Ni structure at the PBE level of DFT.

```
KBe2Ni
1.0
6.6549 0.0000 0.0000
0.0000 6.6665 0.0000
0.0000 0.0000 2.6289
K Be Ni
2 4 2
direct
0.0000 0.0000 0.0000
0.5000 0.5000 0.0000
0.2500 0.2500 0.5000
0.2500 0.7500 0.5000
0.7500 0.2500 0.5000
0.7500 0.7500 0.5000
0.0000 0.5000 0.0000
0.5000 0.0000 0.0000
```

- energy relative to the elements (eV per atom) = 1.11
- crystal system = orthorhombic
- electronic total energy (Ry per atom) = -0.1817
- energy above the most stable polymorph in this dataset (eV per atom) = 0.9644
- space group = Cmmm